[1]
Rb2Na4Sn2Hg | PBE-GGA | optimized geometry

Geometry as POSCAR:
```
Rb2Na4Sn2Hg
1.0
7.044 -4.129 0.000
7.044 4.129 0.000
-0.926 0.000 5.714
Rb Na Sn Hg
2 4 2 1
direct
0.120 0.120 0.223 Rb
0.880 0.880 0.777 Rb
0.150 0.549 0.279 Na
0.451 0.850 0.721 Na
0.549 0.150 0.279 Na
0.850 0.451 0.721 Na
0.312 0.312 0.756 Sn
0.688 0.688 0.244 Sn
0.500 0.500 0.000 Hg
```

Properties
Total moment (μB per cell): 0.0
ΔH_f (0 K) (eV/f.u.): -1.1
VASP energy (eV per atom): -1.85
Crystal system: monoclinic

***

[2]
Mg2HgGe | PBE-GGA | optimized geometry

Geometry as POSCAR:
```
Mg2HgGe
1.0
3.316 0.000 0.000
0.000 3.316 0.000
0.000 0.000 7.458
Mg Hg Ge
2 1 1
direct
0.000 0.000 0.242 Mg
0.000 0.000 0.758 Mg
0.500 0.500 0.500 Hg
0.500 0.500 0.000 Ge
```

Properties
Total moment (μB per cell): 0.0
ΔH_f (0 K) (eV/f.u.): -0.6
VASP energy (eV per atom): -2.18
Crystal system: tetragonal

***

[3]
K2SnHg | PBE-GGA | optimized geometry

Geometry as POSCAR:
```
K2SnHg
1.0
-4.846 4.846 3.220
4.846 -4.846 3.220
4.846 4.846 -3.220
K Sn Hg
4 2 2
direct
0.105 0.625 0.980 K
0.375 0.355 0.480 K
0.645 0.125 0.020 K
0.875 0.895 0.520 K
0.250 0.750 0.500 Sn
0.500 0.500 0.000 Sn
0.000 0.000 0.000 Hg
0.750 0.250 0.500 Hg
```

Properties
Polymorph energy (0 for the lowest one) (meV/atom): 273
Total moment (μB per cell): 0.0
ΔH_f (0 K) (eV/f.u.): 0.0
VASP energy (eV per atom): -1.62
Crystal system: tetragonal

***

[4]
Ti6P3H | PBE-GGA | optimized geometry

Geometry as POSCAR:
```
Ti6P3H
1.0
4.708 -5.828 0.000
4.708 5.828 0.000
0.000 0.000 5.477
Ti P H
12 6 2
direct
0.056 0.944 0.500 Ti
0.098 0.559 0.422 Ti
0.230 0.770 0.933 Ti
0.300 0.368 0.928 Ti
0.368 0.300 0.428 Ti
0.441 0.902 0.422 Ti
0.559 0.098 0.922 Ti
0.632 0.700 0.928 Ti
0.700 0.632 0.428 Ti
0.770 0.230 0.433 Ti
0.902 0.441 0.922 Ti
0.944 0.056 0.000 Ti
0.066 0.265 0.635 P
0.265 0.066 0.135 P
0.395 0.605 0.228 P
0.605 0.395 0.728 P
0.735 0.934 0.635 P
0.934 0.735 0.135 P
0.213 0.787 0.581 H
0.787 0.213 0.081 H
```

Properties
Total moment (μB per cell): 0.0
VASP energy (eV per atom): -7.48
Crystal system: orthorhombic

***

[5]
PrDy2Ag2Pb2 | PBE-GGA | optimized geometry

Geometry as POSCAR:
```
PrDy2Ag2Pb2
1.0
2.480 1.432 8.820
-2.480 1.432 8.820
0.000 -2.864 8.820
Pr Dy Ag Pb
1 2 2 2
direct
0.000 0.000 0.000 Pr
0.135 0.135 0.135 Dy
0.865 0.865 0.865 Dy
0.443 0.443 0.443 Ag
0.557 0.557 0.557 Ag
0.265 0.265 0.265 Pb
0.735 0.735 0.735 Pb
```

Properties
Total moment (μB per cell): 0.0
ΔH_f (0 K) (eV/f.u.): -2.2
VASP energy (eV per atom): -4.19
Crystal system: trigonal